This record from Alexandria via LeMat-Bulk describes a relaxed TaGa4Rh5 crystal. The functional is PBE-GGA.

The space group is P4/mmm (No. 123) and the conventional cell measures 2.973, 2.973 and 16.223 Å, with angles of 90.00, 90.00 and 90.00 degrees. The inequivalent atoms are Ta at (0.000, 0.000, 0.000), Ga at (0.000, 0.000, 0.211), Ga at (0.000, 0.000, 0.404), Rh at (0.500, 0.500, 0.117), Rh at (0.500, 0.500, 0.310) and Rh at (0.500, 0.500, 0.500).

As for the volume: 143 Å³/cell. The formation energy is -0.665 eV per atom. The value obtained for the density of states at the Fermi level is 0.53 states/eV per atom.